Record 1
Density functional theory data (PBE) for a relaxed Cd3BOs crystal.

The structure in POSCAR format:
```
Cd3BOs
1.0
4.490 0.000 0.000
0.000 4.490 0.000
0.000 0.000 4.490
Cd Os B
3 1 1
Direct
0.000 0.500 0.000
0.000 0.000 0.500
0.500 0.000 0.000
0.500 0.500 0.500
0.000 0.000 0.000
```

E above lowest polymorph (meV per atom): 0
E_form (eV/atom): 1.234
SG: Pm-3m (221)
Crystal system: cubic
Final energy (eV/atom): -2.897

Record 2
Density functional theory data (PBE) for a relaxed KMg2Pd4 crystal.

The structure in POSCAR format:
```
KMg2Pd4
1.0
-4.112 -0.538 -2.723
2.768 -1.149 -3.953
-0.948 -7.404 -1.624
Pd Mg K
4 2 1
Direct
0.204 0.204 0.592
0.500 0.000 0.000
0.000 0.500 0.000
0.796 0.796 0.408
0.612 0.612 0.775
0.388 0.388 0.225
0.000 0.000 0.000
```

E_form (eV/atom): 0.648
SG: I4/mmm (139)
Crystal system: tetragonal
Final energy (eV/atom): -2.932

Record 3
Density functional theory data (PBE) for a relaxed ZnNiAg2 crystal.

The structure in POSCAR format:
```
ZnNiAg2
1.0
5.318 0.008 0.004
2.516 4.685 -0.004
-3.331 -3.323 2.477
Ag Zn Ni
2 1 1
Direct
0.999 0.999 0.000
0.501 0.501 0.000
0.250 0.750 0.500
0.750 0.250 0.500
```

E_form (eV/atom): 0.110
SG: Immm (71)
Crystal system: orthorhombic
Final energy (eV/atom): -3.079

Record 4
Density functional theory data (PBE) for a relaxed LaTb2Tl3 crystal.

The structure in POSCAR format:
```
LaTb2Tl3
1.0
3.815 0.000 0.000
0.000 3.815 0.000
0.000 0.000 11.888
Tl La Tb
3 1 2
Direct
0.000 0.000 0.318
0.000 0.000 0.682
0.000 0.000 0.000
0.500 0.500 0.500
0.500 0.500 0.160
0.500 0.500 0.840
```

E_form (eV/atom): -0.384
SG: P4/mmm (123)
Crystal system: tetragonal
Final energy (eV/atom): -3.931

Record 5
Density functional theory data (PBE) for a relaxed CsZrUS6 crystal.

The structure in POSCAR format:
```
CsZrUS6
1.0
9.106 0.000 0.000
0.000 9.647 0.000
-4.553 -4.824 6.714
S Cs Zr U
12 2 2 2
Direct
0.434 0.078 0.257
0.434 0.679 0.257
0.823 0.679 0.257
0.569 0.319 0.137
0.831 0.081 0.662
0.177 0.321 0.743
0.566 0.321 0.743
0.169 0.919 0.338
0.431 0.681 0.863
0.823 0.078 0.257
0.566 0.922 0.743
0.177 0.922 0.743
0.111 0.361 0.222
0.889 0.639 0.778
0.000 0.000 0.500
0.500 0.000 0.500
0.500 0.500 0.000
0.500 0.000 0.000
```

ΔE_f (raw) (eV per atom): -1.073
SG: Imma (74)
Crystal system: orthorhombic
Final energy (eV/atom): -6.123

Record 6
Density functional theory data (PBE) for a relaxed La2ZnP4Pd3 crystal.

The structure in POSCAR format:
```
La2ZnP4Pd3
1.0
-0.722 -4.238 -0.673
2.879 -0.985 3.110
-7.078 0.157 6.603
P Pd La Zn
4 3 2 1
Direct
0.500 0.000 0.635
0.000 0.000 0.000
0.500 0.500 0.000
0.000 0.500 0.365
0.000 0.000 0.500
0.000 0.500 0.112
0.500 0.000 0.888
0.000 0.500 0.759
0.500 0.000 0.241
0.500 0.500 0.500
```

E_form (eV/atom): -0.903
SG: P-4m2 (115)
Crystal system: tetragonal
Final energy (eV/atom): -5.737

Record 7
Density functional theory data (PBE) for a relaxed Er2CoCu crystal.

The structure in POSCAR format:
```
Er2CoCu
1.0
3.352 0.000 0.000
0.000 3.352 0.000
0.000 0.000 6.854
Co Er Cu
1 2 1
Direct
0.500 0.500 0.000
0.000 0.000 0.239
0.000 0.000 0.761
0.500 0.500 0.500
```

E_form (eV/atom): -0.235
SG: P4/mmm (123)
Crystal system: tetragonal
Final energy (eV/atom): -5.317

Record 8
Density functional theory data (PBE) for a relaxed TlHW2 crystal.

The structure in POSCAR format:
```
TlHW2
1.0
0.000 3.149 3.149
3.149 0.000 3.149
3.149 3.149 0.000
Tl W H
1 2 1
Direct
0.500 0.500 0.500
0.750 0.750 0.750
0.250 0.250 0.250
0.000 0.000 0.000
```

E above lowest polymorph (meV per atom): 767
SG: Fm-3m (225)
Crystal system: cubic
Final energy (eV/atom): -6.163

Total magnetization / μB/f.u.: 2.32; 0.00; 0.00; 0.00; 0.00; 0.00; 0.68; 0.00